[1]
Entry from Alexandria: crystalline Ti3Co2Rh2 at its relaxed geometry (GGA-PBE).

Output
Volume in Å³/cell: 99.4
DFT formation energy in eV/atom: -0.47
Calculated density in g cm⁻³: 7.8
DOS(E_F) in states/eV per cell: 3.13
Space-group type: P-1 (2)

a b c (Å): 4.2818 4.2650 7.4724
angles (deg): 90.06 117.99 119.92
Atoms (fractional coordinates):
Co  0.3933  0.1967  0.3883
Co  0.6067  0.8033  0.6117
Ti  0.0000  0.0000  0.0000
Ti  0.6550  0.8276  0.2939
Ti  0.3450  0.1724  0.7061
Rh  0.1796  0.5897  0.8590
Rh  0.8204  0.4103  0.1410

***

[2]
Entry from Alexandria: crystalline SrPtIN2 at its relaxed geometry (GGA-PBE).

Output
Volume in Å³/cell: 149.9
Calculated density in g cm⁻³: 4.8
DOS(E_F) in states/eV per cell: 2.95
Space-group type: P4/mmm (123)
Energy relative to the lowest polymorph listed for this composition in eV per atom: 0.970

a b c (Å): 4.7127 4.7127 6.7504
angles (deg): 90.00 90.00 90.00
Atoms (fractional coordinates):
I  0.0000  0.0000  0.5000
Sr  0.0000  0.0000  0.0000
Pt  0.5000  0.5000  0.5000
N  0.5000  0.0000  0.0000
N  0.0000  0.5000  0.0000

***

[3]
Entry from Alexandria: crystalline DyFe12B4 at its relaxed geometry (GGA-PBE).

Output
Volume in Å³/cell: 194.7
DFT formation energy in eV/atom: 0.06
Calculated density in g cm⁻³: 7.5
DOS(E_F) in states/eV per cell: 12.30
Space-group type: Im-3 (204)

a b c (Å): 6.3239 6.3239 6.3239
angles (deg): 109.47 109.47 109.47
Atoms (fractional coordinates):
Fe  0.8358  0.1752  0.6605
Fe  0.6605  0.4853  0.8248
Fe  0.1752  0.3395  0.5147
Fe  0.3395  0.1642  0.8248
Fe  0.8248  0.3395  0.1642
Fe  0.3395  0.5147  0.1752
Fe  0.6605  0.8358  0.1752
Fe  0.8248  0.6605  0.4853
Fe  0.1752  0.6605  0.8358
Fe  0.4853  0.8248  0.6605
Fe  0.5147  0.1752  0.3395
Fe  0.1642  0.8248  0.3395
B  0.5000  0.5000  0.5000
B  0.0000  0.0000  0.5000
B  0.0000  0.5000  0.0000
B  0.5000  0.0000  0.0000
Dy  0.0000  0.0000  0.0000

***

[4]
Entry from Alexandria: crystalline CeCo2Os at its relaxed geometry (GGA-PBE).

Output
Volume in Å³/cell: 70.2
DFT formation energy in eV/atom: -0.05
Calculated density in g cm⁻³: 10.6
DOS(E_F) in states/eV per cell: 4.62
Space-group type: R-3m (166)

a b c (Å): 4.2195 4.2195 5.1661
angles (deg): 65.90 65.90 60.00
Atoms (fractional coordinates):
Co  0.3113  0.3113  0.0660
Co  0.6887  0.6887  0.9340
Os  0.0000  0.0000  0.0000
Ce  0.5000  0.5000  0.5000

***

[5]
Entry from Alexandria: crystalline CeTc4Ge4 at its relaxed geometry (GGA-PBE).

Output
Volume in Å³/cell: 316.2
DFT formation energy in eV/atom: -0.19
Calculated density in g cm⁻³: 8.6
DOS(E_F) in states/eV per cell: 10.65
Space-group type: P4_2/nmc (137)

a b c (Å): 6.2512 6.2512 8.0927
angles (deg): 90.00 90.00 90.00
Atoms (fractional coordinates):
Ge  0.3015  0.0000  0.3267
Ge  0.5000  0.8015  0.8267
Ge  0.1985  0.5000  0.1733
Ge  0.6985  0.0000  0.3267
Ge  0.5000  0.1985  0.8267
Ge  0.0000  0.6985  0.6733
Ge  0.8015  0.5000  0.1733
Ge  0.0000  0.3015  0.6733
Tc  0.0000  0.2443  0.3692
Tc  0.7443  0.5000  0.8692
Tc  0.0000  0.7557  0.3692
Tc  0.7557  0.0000  0.6308
Tc  0.5000  0.2557  0.1308
Tc  0.2557  0.5000  0.8692
Tc  0.2443  0.0000  0.6308
Tc  0.5000  0.7443  0.1308
Ce  0.0000  0.0000  0.0000
Ce  0.5000  0.5000  0.5000